1) ## DyTmRh (PBE)

Data for a relaxed DyTmRh crystal.

Its density of states at the Fermi level is 1.134 states/eV/atom.

It has space group I4mm (No. 107), with a = 3.425 Å, b = 3.425 Å, c = 12.504 Å, α = 90.00°, β = 90.00° and γ = 90.00°. The distinct sites, in fractional coordinates, are Dy at (0.000, 0.000, 0.000), Tm at (0.000, 0.000, 0.737) and Rh at (0.000, 0.000, 0.365).



2) ## DyTmRh (PBE)

Data for a relaxed DyTmRh crystal.

Its density of states at the Fermi level is 0.894 states/eV/atom.

It has space group P3m1 (No. 156), with a = 4.5715 Å, b = 4.5715 Å, c = 3.9430 Å, α = 90.00°, β = 90.00° and γ = 120.00°. The distinct sites, in fractional coordinates, are Dy at (0.0000, 0.0000, 0.0000), Tm at (0.3333, 0.6667, 0.4694) and Rh at (0.6667, 0.3333, 0.7201).



3) ## DyTmRh (PBE)

Data for a relaxed DyTmRh crystal.

Its density of states at the Fermi level is 1.129 states/eV/atom.

It has space group Amm2 (No. 38), with a = 4.571 Å, b = 12.739 Å, c = 7.341 Å, α = 90.00°, β = 90.00° and γ = 90.00°. The distinct sites, in fractional coordinates, are Dy at (0.000, 0.000, 0.000), Dy at (0.000, 0.204, 0.387), Tm at (0.500, 0.000, 0.330), Tm at (0.500, 0.131, 0.723), Rh at (0.000, 0.000, 0.592) and Rh at (0.500, 0.167, 0.092).



4) ## DyTmRh (PBE)

Data for a relaxed DyTmRh crystal.

Its density of states at the Fermi level is 0.863 states/eV/atom.

It has space group P4_2/mmc (No. 131), with a = 7.621 Å, b = 7.621 Å, c = 5.513 Å, α = 90.00°, β = 90.00° and γ = 90.00°. The distinct sites, in fractional coordinates, are Dy at (0.000, 0.244, 0.000), Tm at (0.276, 0.500, 0.500) and Rh at (0.000, 0.282, 0.500).



Tell me which of them is the most stable. Sure, it is 3).